one) Nd5Bi2Pb2: relaxed, PBE. Values from VASP.

```
&SYSTEM
  ibrav = 0, nat = 18, ntyp = 3
/
ATOMIC_SPECIES
Pb 207.20 Pb.upf
Nd 144.24 Nd.upf
Bi 208.98 Bi.upf
ATOMIC_POSITIONS angstrom
Pb -5.236 -7.505 0.673
Pb -1.606 -2.111 2.016
Pb -3.973 -5.262 4.599
Pb -2.870 -4.354 -1.910
Nd 0.018 -3.844 -0.191
Nd -2.428 -7.493 -1.228
Nd 2.567 -6.559 1.272
Nd 1.722 -7.318 5.641
Nd 5.013 -2.910 2.309
Nd -3.273 -8.252 3.142
Nd 0.000 0.000 0.000
Nd -0.826 -4.603 4.179
Nd -3.421 -4.808 1.344
Nd 4.168 -3.669 6.679
Bi 2.702 -1.868 0.197
Bi 2.003 -5.771 -1.988
Bi 2.460 -4.487 3.909
Bi -0.719 -6.675 1.542
CELL_PARAMETERS angstrom
-2.965 -3.524 7.241
-3.878 -6.092 -4.552
8.583 -1.546 2.762
```

two) Nd5Bi2Pb2: relaxed, PBE. Values from VASP.

```
&SYSTEM
  ibrav = 0, nat = 18, ntyp = 3
/
ATOMIC_SPECIES
Bi 208.98 Bi.upf
Nd 144.24 Nd.upf
Pb 207.20 Pb.upf
ATOMIC_POSITIONS angstrom
Bi 1.215 5.473 0.000
Bi 3.095 1.196 0.000
Bi 5.524 7.358 0.000
Bi 7.404 3.081 0.000
Nd 1.393 -1.419 5.821
Nd 0.000 0.000 0.000
Nd 2.917 7.135 2.230
Nd 7.226 1.419 5.821
Nd 4.310 4.277 0.000
Nd 1.393 2.858 2.230
Nd 2.917 2.858 5.821
Nd 7.226 5.696 2.230
Nd 5.702 -2.858 5.821
Nd 5.702 1.419 2.230
Pb 0.000 4.277 4.792
Pb 0.000 0.000 3.260
Pb 4.310 0.000 4.792
Pb 4.310 4.277 3.260
CELL_PARAMETERS angstrom
8.619 0.000 0.000
0.000 8.554 0.000
0.000 -4.277 8.051
```

Which structure loses on stability? two) does.